PBE+U Rb3TlCr2O8, optimized geometry; calculated density = 4.06 Mg/m³; DOS(E_F) = 0.0000 states/eV/atom; total DFT energy (no corrections) = -81.39 eV per formula unit; SG = P-3m1 (164)
1.0
6.2919 0.0000 0.0000
-3.1460 5.4490 0.0000
0.0000 0.0000 8.2747
Rb Tl Cr O
3 1 2 8
direct
0.0000 0.0000 0.0000
0.3333 0.6667 0.6819
0.6667 0.3333 0.3181
0.0000 0.0000 0.5000
0.3333 0.6667 0.2137
0.6667 0.3333 0.7863
0.1885 0.3769 0.2826
0.1885 0.8115 0.2826
0.3333 0.6667 0.0147
0.3769 0.1885 0.7174
0.6231 0.8115 0.2826
0.6667 0.3333 0.9853
0.8115 0.1885 0.7174
0.8115 0.6231 0.7174